An optimized crystal structure of TbSi2NiOs. Source: Alexandria, functional PBE. Values from VASP.

Summary:
SG: I-4m2, No. 119
ΔE_f (raw): -779 meV per atom

```
&SYSTEM
  ibrav = 0, nat = 5, ntyp = 4
/
ATOMIC_SPECIES
Tb 158.93 Tb.upf
Si 28.09 Si.upf
Ni 58.69 Ni.upf
Os 190.23 Os.upf
CELL_PARAMETERS angstrom
-2.693 0.932 2.789
-2.174 -3.177 -1.038
4.932 -1.681 2.473
ATOMIC_POSITIONS crystal
Tb 0.000 0.000 0.000
Si 0.623 0.623 0.246
Si 0.377 0.377 0.754
Ni 0.750 0.250 0.500
Os 0.250 0.750 0.500
```